DFT (PBE) results for a geometry-optimized PuTlCoCl6 structure.

The calculated volume is 557 Å³ per cell. The value obtained for the total magnetization is 7.5 μB/f.u. The calculation puts the uncorrected formation energy at -1240 meV/atom.

The space group is P-31c (No. 163) and the conventional cell measures 6.7312, 6.7312 and 14.1897 Å, with angles of 90.00, 90.00 and 120.00 degrees. The distinct sites, in fractional coordinates, are Pu at (0.3333, 0.6667, 0.2500), Tl at (0.0000, 0.0000, 0.0000), Co at (0.3333, 0.6667, 0.7500) and Cl at (0.0258, 0.3797, 0.6478).


DFT (PBE) results for a geometry-optimized Ca6In2O structure.

The calculated volume is 1003 Å³ per cell. The value obtained for the total magnetization is 0.9 μB/f.u. The calculation puts the uncorrected formation energy at -879 meV/atom.

The space group is Fm-3m (No. 225) and the conventional cell measures 10.010, 10.010 and 10.010 Å, with angles of 90.00, 90.00 and 90.00 degrees. The distinct sites, in fractional coordinates, are Ca at (0.000, 0.000, 0.242), In at (0.250, 0.250, 0.250) and O at (0.000, 0.000, 0.000).


DFT (PBE) results for a geometry-optimized K3NbI2Br6 structure.

The calculated volume is 997 Å³ per cell. The value obtained for the total magnetization is 0.0 μB/f.u. The calculation puts the uncorrected formation energy at -1166 meV/atom.

The space group is C2/m (No. 12) and the conventional cell measures 17.207, 9.361 and 6.192 Å, with angles of 90.00, 90.91 and 90.00 degrees. The distinct sites, in fractional coordinates, are K at (0.000, 0.000, 0.000), K at (0.250, 0.250, 0.500), Nb at (0.000, 0.500, 0.500), I at (0.193, 0.000, 0.120), Br at (0.065, 0.307, 0.733) and Br at (0.118, 0.500, 0.257).